Material: CrCuPbF6
Method: DFT, GGA+U
State: optimized geometry

abc: 5.583 5.583 10.253
angles: 90.00 90.00 120.00
Atoms (fractional coordinates):
Cr 0.333 0.667 0.250
Cr 0.667 0.333 0.750
Cu 0.333 0.667 0.750
Cu 0.667 0.333 0.250
Pb 0.000 0.000 0.000
Pb 0.000 0.000 0.500
F 0.036 0.380 0.143
F 0.036 0.656 0.357
F 0.344 0.380 0.357
F 0.344 0.964 0.143
F 0.380 0.036 0.643
F 0.380 0.344 0.857
F 0.620 0.656 0.143
F 0.620 0.964 0.357
F 0.656 0.036 0.857
F 0.656 0.620 0.643
F 0.964 0.344 0.643
F 0.964 0.620 0.857

Energy   -5.163 eV per atom
Total magnetic moment   5.9 μB per cell